--- w ---
Entry from the Alexandria database: a relaxed MoRh2Cl crystal (PBE).

```
MoRh2Cl
1.0
-0.0965 3.3184 -1.1053
-1.6250 0.7194 2.3016
5.6682 1.3585 3.5841
Cl Rh Mo
1 2 1
Direct
0.0000 0.5014 0.5298
0.5000 0.4990 0.1896
0.0000 0.9995 0.9838
0.5000 0.5000 0.7968
```

Results
As for the space-group type: No. 6. As for the mass density: 8.04 g/cm3. The value obtained for the density of states at the Fermi level is 1.467 states/eV per atom.


--- x ---
Entry from the Alexandria database: a relaxed MoRh2Cl crystal (PBE).

```
MoRh2Cl
1.0
2.8470 -0.0145 0.0000
-1.4228 2.4659 0.0000
0.0000 0.0000 8.8952
Cl Rh Mo
1 2 1
Direct
0.0000 0.0000 0.5086
0.5000 0.5000 0.2516
0.0000 0.0000 0.9940
0.5000 0.5000 0.7458
```

Results
As for the space-group type: No. 35. As for the mass density: 8.99 g/cm3. The value obtained for the density of states at the Fermi level is 1.562 states/eV per atom.


So which one is most stable? That would be w, about 0.174 eV/atom below the next structure.


--- w ---
Entry from the Alexandria database: a relaxed MoRh2Cl crystal (PBE).

```
MoRh2Cl
1.0
4.0354 0.0000 0.0000
0.0000 2.8508 -0.0109
0.0000 1.7488 5.1991
Rh Mo Cl
2 1 1
Direct
0.0000 0.3857 0.5021
0.0000 0.1143 0.9979
0.5000 0.7500 0.7500
0.5000 0.2500 0.2500
```

Results
As for the space-group type: No. 10. As for the mass density: 9.35 g/cm3. The value obtained for the density of states at the Fermi level is 0.717 states/eV per atom.


--- x ---
Entry from the Alexandria database: a relaxed MoRh2Cl crystal (PBE).

```
MoRh2Cl
1.0
-1.1617 0.5096 4.2042
-4.1762 -0.8776 -1.0359
3.1774 -2.8331 -1.0779
Rh Cl Mo
2 1 1
Direct
0.2500 0.7500 0.5000
0.0000 0.0000 0.0000
0.5000 0.5000 0.0000
0.7500 0.2500 0.5000
```

Results
As for the space-group type: No. 119. As for the mass density: 9.36 g/cm3. The value obtained for the density of states at the Fermi level is 1.201 states/eV per atom.


So which one is most stable? That would be w, about 0.273 eV/atom below the next structure.


--- w ---
Entry from the Alexandria database: a relaxed MoRh2Cl crystal (PBE).

```
MoRh2Cl
1.0
2.8610 0.0000 0.0000
0.0000 2.8610 0.0000
0.0000 0.0000 7.4018
Rh Cl Mo
2 1 1
Direct
0.5000 0.5000 0.2446
0.0000 0.0000 0.9818
0.0000 0.0000 0.5242
0.5000 0.5000 0.7494
```

Results
As for the space-group type: No. 99. As for the mass density: 9.24 g/cm3. The value obtained for the density of states at the Fermi level is 1.168 states/eV per atom.


--- x ---
Entry from the Alexandria database: a relaxed MoRh2Cl crystal (PBE).

```
MoRh2Cl
1.0
-3.6415 3.1540 -0.3409
-1.5985 -4.4091 1.1529
0.2756 0.6129 2.7259
Rh Mo Cl
2 1 1
Direct
0.5000 0.5000 0.0000
0.0000 0.0000 0.0000
0.0000 0.5000 0.5000
0.5000 0.0000 0.5000
```

Results
As for the space-group type: No. 65. As for the mass density: 9.18 g/cm3. The value obtained for the density of states at the Fermi level is 1.608 states/eV per atom.


--- y ---
Entry from the Alexandria database: a relaxed MoRh2Cl crystal (PBE).

```
MoRh2Cl
1.0
4.7127 0.0000 0.0000
0.0000 4.7127 0.0000
0.0000 0.0000 2.8007
Rh Cl Mo
2 1 1
Direct
0.0000 0.0000 0.0000
0.5000 0.5000 0.0000
0.5000 0.0000 0.5000
0.0000 0.5000 0.5000
```

Results
As for the space-group type: No. 123. As for the mass density: 9.00 g/cm3. The value obtained for the density of states at the Fermi level is 1.446 states/eV per atom.


So which one is most stable? That would be w, about 0.365 eV/atom below the next structure.